This record from Alexandria via LeMat-Bulk describes an optimized crystal structure of GaCo3Te. The functional is PBE.

## Properties
Space group: Pm-3m
Formation energy without anion corrections: 1.03 eV per atom

a = 4.669 Å, b = 4.669 Å, c = 4.669 Å
α = 90.00°, β = 90.00°, γ = 90.00°
Site moments in Bohr magnetons follow the coordinates.
Atoms (fractional coordinates):
Te 0.000 0.000 0.000  0.00
Co 0.000 0.500 0.000  1.35
Co 0.000 0.000 0.500  1.30
Co 0.500 0.000 0.000  1.56
Ga 0.500 0.500 0.500  0.04



This record from Alexandria via LeMat-Bulk describes an optimized crystal structure of Y2GaCoTe. The functional is PBE.

## Properties
Space group: P4/mmm
Formation energy without anion corrections: 0.68 eV per atom

a = 5.413 Å, b = 5.168 Å, c = 5.413 Å
α = 90.00°, β = 90.00°, γ = 90.00°
Site moments in Bohr magnetons follow the coordinates.
Atoms (fractional coordinates):
Y 0.000 0.000 0.500  0.03
Y 0.500 0.000 0.000  0.04
Te 0.000 0.500 0.000  -0.01
Co 0.500 0.500 0.500  -0.14
Ga 0.000 0.000 0.000  0.01



This record from Alexandria via LeMat-Bulk describes an optimized crystal structure of YGa2CoTe. The functional is PBE.

## Properties
Space group: P4/mmm
Formation energy without anion corrections: -0.50 eV per atom

a = 4.628 Å, b = 5.151 Å, c = 4.628 Å
α = 90.00°, β = 90.00°, γ = 90.00°
Atoms (fractional coordinates):
Y 0.000 0.500 0.000
Te 0.500 0.500 0.500
Co 0.000 0.000 0.000
Ga 0.000 0.000 0.500
Ga 0.500 0.000 0.000



This record from Alexandria via LeMat-Bulk describes an optimized crystal structure of Th2GaCo4. The functional is PBE.

## Properties
Space group: Fmmm
Formation enthalpy at 0 K: -1.3 eV/f.u.

a = 5.508 Å, b = 5.508 Å, c = 5.671 Å
α = 117.19°, β = 117.19°, γ = 93.40°
Atoms (fractional coordinates):
Th 0.250 0.750 0.500
Th 0.750 0.250 0.500
Ga 0.000 0.000 0.000
Co 0.679 0.679 0.000
Co 0.321 0.321 0.000
Co 0.274 0.274 0.548
Co 0.726 0.726 0.452



This record from Alexandria via LeMat-Bulk describes an optimized crystal structure of Th3Ga9Co2. The functional is PBE.

## Properties
Space group: Immm
Formation enthalpy at 0 K: -6.6 eV/f.u.

a = 4.293 Å, b = 8.202 Å, c = 8.202 Å
α = 75.19°, β = 74.83°, γ = 74.83°
Atoms (fractional coordinates):
Th 0.000 0.000 0.000
Th 0.677 0.323 0.323
Th 0.323 0.677 0.677
Ga 0.000 0.500 0.500
Ga 0.663 0.972 0.702
Ga 0.337 0.028 0.298
Ga 0.663 0.702 0.972
Ga 0.337 0.298 0.028
Ga 0.879 0.842 0.399
Ga 0.121 0.158 0.601
Ga 0.879 0.399 0.842
Ga 0.121 0.601 0.158
Co 0.500 0.281 0.719
Co 0.500 0.719 0.281



This record from Alexandria via LeMat-Bulk describes an optimized crystal structure of Th2GaCo9. The functional is PBE.

## Properties
Space group: R-3m
Formation enthalpy at 0 K: -0.2 eV/f.u.

a = 4.866 Å, b = 4.866 Å, c = 8.845 Å
α = 74.03°, β = 74.03°, γ = 60.00°
Site moments in Bohr magnetons follow the coordinates.
Atoms (fractional coordinates):
Th 0.867 0.867 0.400  -0.28
Th 0.133 0.133 0.600  -0.28
Ga 0.000 0.000 0.000  -0.02
Co 0.667 0.667 0.000  1.58
Co 0.333 0.333 0.000  1.58
Co 0.500 0.500 0.500  0.55
Co 0.422 0.422 0.236  0.97
Co 0.920 0.422 0.236  0.97
Co 0.422 0.920 0.236  0.97
Co 0.578 0.578 0.764  0.97
Co 0.578 0.080 0.764  0.97
Co 0.080 0.578 0.764  0.97



This record from Alexandria via LeMat-Bulk describes an optimized crystal structure of ThGaCo3. The functional is PBE.

## Properties
Space group: Imma
Formation enthalpy at 0 K: -1.2 eV/f.u.

a = 4.940 Å, b = 8.149 Å, c = 6.242 Å
α = 130.75°, β = 113.31°, γ = 90.00°
Site moments in Bohr magnetons follow the coordinates.
Atoms (fractional coordinates):
Th 0.250 0.302 0.500  -0.12
Th 0.750 0.698 0.500  -0.12
Ga 0.000 0.500 0.000  -0.03
Ga 0.500 0.000 0.000  -0.03
Co 0.744 0.244 0.989  0.38
Co 0.244 0.244 0.989  0.38
Co 0.756 0.756 0.011  0.38
Co 0.256 0.756 0.011  0.38
Co 0.250 0.940 0.500  0.75
Co 0.750 0.060 0.500  0.75



This record from Alexandria via LeMat-Bulk describes an optimized crystal structure of ThGaCo4. The functional is PBE.

## Properties
Space group: Cmcm
Formation enthalpy at 0 K: -0.5 eV/f.u.

a = 3.906 Å, b = 5.916 Å, c = 7.864 Å
α = 90.00°, β = 104.38°, γ = 90.00°
Site moments in Bohr magnetons follow the coordinates.
Atoms (fractional coordinates):
Th 0.102 0.250 0.204  -0.21
Th 0.898 0.750 0.796  -0.21
Ga 0.231 0.750 0.463  -0.06
Ga 0.769 0.250 0.537  -0.06
Co 0.500 0.500 0.000  1.00
Co 0.500 0.000 0.000  1.00
Co 0.664 0.944 0.329  0.65
Co 0.336 0.056 0.671  0.65
Co 0.336 0.444 0.671  0.65
Co 0.664 0.556 0.329  0.65
Co 0.077 0.750 0.153  0.80
Co 0.923 0.250 0.847  0.80



This record from Alexandria via LeMat-Bulk describes an optimized crystal structure of Th4Ga16Co3. The functional is PBE.

## Properties
Space group: P4/mmm
Formation enthalpy at 0 K: -10.7 eV/f.u.

a = 6.188 Å, b = 6.188 Å, c = 11.306 Å
α = 90.00°, β = 90.00°, γ = 90.00°
Atoms (fractional coordinates):
Th 0.500 0.000 0.804
Th 0.000 0.500 0.196
Th 0.000 0.500 0.804
Th 0.500 0.000 0.196
Ga 0.000 0.000 0.776
Ga 0.282 0.282 0.000
Ga 0.500 0.500 0.802
Ga 0.718 0.282 0.000
Ga 0.500 0.500 0.198
Ga 0.718 0.718 0.000
Ga 0.000 0.000 0.224
Ga 0.749 0.749 0.612
Ga 0.749 0.251 0.388
Ga 0.251 0.251 0.612
Ga 0.251 0.749 0.388
Ga 0.282 0.718 0.000
Ga 0.749 0.749 0.388
Ga 0.749 0.251 0.612
Ga 0.251 0.251 0.388
Ga 0.251 0.749 0.612
Co 0.000 0.500 0.500
Co 0.000 0.000 0.000
Co 0.500 0.000 0.500



This record from Alexandria via LeMat-Bulk describes an optimized crystal structure of Th2Ga5Co3. The functional is PBE.

## Properties
Space group: Ibam
Formation enthalpy at 0 K: -5.0 eV/f.u.

a = 5.613 Å, b = 8.447 Å, c = 8.447 Å
α = 72.19°, β = 70.59°, γ = 70.59°
Atoms (fractional coordinates):
Th 0.141 0.581 0.138
Th 0.641 0.138 0.581
Th 0.859 0.419 0.862
Th 0.359 0.862 0.419
Ga 0.411 0.254 0.923
Ga 0.911 0.923 0.254
Ga 0.589 0.746 0.077
Ga 0.089 0.077 0.746
Ga 0.459 0.791 0.791
Ga 0.541 0.209 0.209
Ga 0.750 0.500 0.500
Ga 0.250 0.500 0.500
Ga 0.041 0.209 0.209
Ga 0.959 0.791 0.791
Co 0.353 0.548 0.746
Co 0.853 0.746 0.548
Co 0.647 0.452 0.254
Co 0.147 0.254 0.452
Co 0.250 0.000 0.000
Co 0.750 0.000 0.000



This record from Alexandria via LeMat-Bulk describes an optimized crystal structure of Th2GaCo5. The functional is PBE.

## Properties
Space group: I4mm
Formation enthalpy at 0 K: -1.5 eV/f.u.

a = 5.691 Å, b = 5.691 Å, c = 5.691 Å
α = 90.42°, β = 119.76°, γ = 119.76°
Site moments in Bohr magnetons follow the coordinates.
Atoms (fractional coordinates):
Th 0.500 0.248 0.748  -0.07
Th 0.500 0.748 0.248  -0.07
Ga 0.000 0.956 0.956  -0.02
Co 0.426 0.715 0.715  0.26
Co 0.000 0.715 0.289  0.26
Co 0.000 0.289 0.715  0.26
Co 0.574 0.289 0.289  0.26
Co 0.000 0.263 0.263  0.26



This record from Alexandria via LeMat-Bulk describes an optimized crystal structure of Th2GaCo3. The functional is PBE.

## Properties
Space group: Fmmm
Formation enthalpy at 0 K: -1.7 eV/f.u.

a = 5.728 Å, b = 5.728 Å, c = 8.094 Å
α = 110.02°, β = 110.02°, γ = 91.85°
Site moments in Bohr magnetons follow the coordinates.
Atoms (fractional coordinates):
Th 0.250 0.750 0.500  -0.08
Th 0.756 0.756 0.000  -0.09
Th 0.750 0.250 0.500  -0.08
Th 0.244 0.244 0.000  -0.09
Ga 0.666 0.666 0.333  -0.01
Ga 0.334 0.334 0.667  -0.01
Co 0.325 0.838 0.163  0.70
Co 0.162 0.675 0.837  0.70
Co 0.675 0.162 0.837  0.70
Co 0.838 0.325 0.163  0.70
Co 0.161 0.161 0.323  0.76
Co 0.839 0.839 0.677  0.76



This record from Alexandria via LeMat-Bulk describes an optimized crystal structure of Th6GaCo2. The functional is PBE.

## Properties
Space group: Immm
Formation enthalpy at 0 K: -1.7 eV/f.u.

a = 8.478 Å, b = 8.478 Å, c = 8.478 Å
α = 101.34°, β = 111.79°, γ = 115.60°
Atoms (fractional coordinates):
Th 0.519 0.704 0.815
Th 0.481 0.296 0.185
Th 0.111 0.296 0.815
Th 0.889 0.704 0.185
Th 0.807 0.760 0.567
Th 0.193 0.240 0.433
Th 0.193 0.760 0.953
Th 0.807 0.240 0.047
Th 0.694 0.362 0.668
Th 0.306 0.638 0.332
Th 0.306 0.973 0.668
Th 0.694 0.027 0.332
Ga 0.000 0.500 0.500
Ga 0.000 0.000 0.000
Co 0.500 0.372 0.872
Co 0.500 0.628 0.128
Co 0.647 0.000 0.647
Co 0.353 0.000 0.353



This record from Alexandria via LeMat-Bulk describes an optimized crystal structure of ThGaCo2. The functional is PBE.

## Properties
Space group: R-3m
Formation enthalpy at 0 K: -1.6 eV/f.u.

a = 4.218 Å, b = 4.218 Å, c = 5.106 Å
α = 65.60°, β = 65.60°, γ = 60.00°
Atoms (fractional coordinates):
Co 0.803 0.803 0.591
Co 0.197 0.197 0.409
Ga 0.500 0.500 0.500
Th 0.000 0.000 0.000



This record from Alexandria via LeMat-Bulk describes an optimized crystal structure of Th5Ga2Co2. The functional is PBE.

## Properties
Space group: Ima2
Formation enthalpy at 0 K: -2.3 eV/f.u.

a = 8.740 Å, b = 6.390 Å, c = 9.757 Å
α = 109.12°, β = 116.61°, γ = 90.00°
Atoms (fractional coordinates):
Th 0.234 0.644 0.879
Th 0.766 0.765 0.121
Th 0.146 0.144 0.879
Th 0.854 0.265 0.121
Th 0.263 0.131 0.293
Th 0.737 0.839 0.707
Th 0.530 0.631 0.293
Th 0.470 0.339 0.707
Th 0.164 0.749 0.500
Th 0.836 0.249 0.500
Ga 0.133 0.603 0.149
Ga 0.867 0.454 0.851
Ga 0.516 0.103 0.149
Ga 0.484 0.954 0.851
Co 0.000 0.892 0.000
Co 0.500 0.392 0.000
Co 0.126 0.259 0.500
Co 0.874 0.759 0.500



This record from Alexandria via LeMat-Bulk describes an optimized crystal structure of ThGaCo. The functional is PBE.

## Properties
Space group: Pmma
Formation enthalpy at 0 K: -1.5 eV/f.u.

a = 3.806 Å, b = 7.190 Å, c = 12.640 Å
α = 90.00°, β = 90.00°, γ = 90.00°
Atoms (fractional coordinates):
Th 0.000 0.244 0.958
Th 0.000 0.756 0.042
Th 0.000 0.244 0.542
Th 0.000 0.756 0.458
Th 0.000 0.122 0.250
Th 0.000 0.878 0.750
Ga 0.500 0.423 0.135
Ga 0.500 0.577 0.865
Ga 0.500 0.423 0.365
Ga 0.500 0.577 0.635
Ga 0.500 0.780 0.250
Ga 0.500 0.220 0.750
Co 0.500 0.061 0.100
Co 0.500 0.939 0.900
Co 0.500 0.061 0.400
Co 0.500 0.939 0.600
Co 0.000 0.548 0.250
Co 0.000 0.452 0.750



This record from Alexandria via LeMat-Bulk describes an optimized crystal structure of ThGaCo4. The functional is PBE.

## Properties
Space group: F-43m
Formation enthalpy at 0 K: -0.9 eV/f.u.

a = 4.977 Å, b = 4.977 Å, c = 4.977 Å
α = 60.00°, β = 60.00°, γ = 60.00°
Site moments in Bohr magnetons follow the coordinates.
Atoms (fractional coordinates):
Co 0.627 0.627 0.120  0.88
Co 0.627 0.120 0.627  0.88
Co 0.627 0.627 0.627  0.88
Co 0.120 0.627 0.627  0.88
Ga 0.000 0.000 0.000  -0.03
Th 0.250 0.250 0.250  -0.22



This record from Alexandria via LeMat-Bulk describes an optimized crystal structure of Th8GaCo2. The functional is PBE.

## Properties
Space group: Cm
Formation enthalpy at 0 K: -0.6 eV/f.u.

a = 5.485 Å, b = 7.956 Å, c = 7.956 Å
α = 116.33°, β = 97.84°, γ = 97.84°
Atoms (fractional coordinates):
Co 0.559 0.742 0.349
Co 0.559 0.349 0.742
Ga 0.971 0.999 0.999
Th 0.555 0.327 0.077
Th 0.555 0.077 0.327
Th 0.180 0.385 0.385
Th 0.998 0.217 0.734
Th 0.998 0.734 0.217
Th 0.806 0.607 0.607
Th 0.410 0.920 0.678
Th 0.410 0.678 0.920



This record from Alexandria via LeMat-Bulk describes an optimized crystal structure of Th2Ga2Co3. The functional is PBE.

## Properties
Space group: C2/m
Formation enthalpy at 0 K: -1.8 eV/f.u.

a = 3.872 Å, b = 7.393 Å, c = 9.706 Å
α = 85.01°, β = 78.49°, γ = 74.82°
Atoms (fractional coordinates):
Th 0.274 0.115 0.337
Th 0.726 0.885 0.663
Th 0.394 0.266 0.946
Th 0.606 0.734 0.054
Ga 0.041 0.239 0.679
Ga 0.959 0.761 0.321
Ga 0.404 0.527 0.665
Ga 0.596 0.473 0.335
Co 0.070 0.988 0.873
Co 0.930 0.012 0.127
Co 0.176 0.468 0.179
Co 0.824 0.532 0.821
Co 0.385 0.757 0.473
Co 0.615 0.243 0.527



This record from Alexandria via LeMat-Bulk describes an optimized crystal structure of ThGa2Co2. The functional is PBE.

## Properties
Space group: Fddd
Formation enthalpy at 0 K: -1.7 eV/f.u.

a = 5.326 Å, b = 5.326 Å, c = 7.287 Å
α = 101.93°, β = 101.93°, γ = 115.69°
Atoms (fractional coordinates):
Th 0.875 0.625 0.750
Th 0.125 0.375 0.250
Ga 0.267 0.017 0.534
Ga 0.517 0.767 0.034
Ga 0.733 0.983 0.466
Ga 0.483 0.233 0.966
Co 0.156 0.344 0.750
Co 0.406 0.094 0.250
Co 0.594 0.906 0.750
Co 0.844 0.656 0.250



This record from Alexandria via LeMat-Bulk describes an optimized crystal structure of ThGa2Co. The functional is PBE.

## Properties
Space group: Cmmm
Formation enthalpy at 0 K: -2.0 eV/f.u.

a = 4.309 Å, b = 4.397 Å, c = 4.397 Å
α = 111.94°, β = 90.00°, γ = 90.00°
Atoms (fractional coordinates):
Th 0.500 0.500 0.000
Ga 0.000 0.171 0.328
Ga 0.000 0.829 0.672
Co 0.500 0.000 0.500



M_tot in μB per cell, matching the order above: 4.093 0.022 0.000 0.000 0.000 8.559 2.516 5.341 0.000 0.000 1.014 3.627 0.000 0.000 0.000 0.000 3.116 0.000 0.000 0.000 0.000